An optimized crystal structure of TeAs2Pd8, computed with PBE.

extended XYZ file:
```
11
Lattice="-3.326 -0.119 -2.374 2.580 -4.870 -3.370 -2.386 -2.277 6.977" Properties=species:S:1:pos:R:3 pbc="T T T"
As 0.244 -4.181 -0.132
As -3.376 -3.085 1.365
Pd -0.770 -2.345 1.196
Pd -2.362 -4.922 0.037
Pd -2.503 -1.742 3.595
Pd -1.218 -2.766 -1.674
Pd 1.658 -3.831 -2.130
Pd -4.789 -3.435 3.363
Pd -0.629 -5.525 -2.362
Pd -1.914 -4.500 2.907
Te -1.663 -0.060 -1.187
```

Calculated values
* magnetization: 0.0 μB/cell
* total energy: -5.239 eV per atom
* DOS at the Fermi energy: 0.4254 states/eV per atom


An optimized crystal structure of TeAsPd3, computed with PBE.

extended XYZ file:
```
5
Lattice="4.949 0.000 0.000 0.000 4.949 0.000 0.000 0.000 4.949" Properties=species:S:1:pos:R:3 pbc="T T T"
As 2.475 2.475 2.475
Pd 0.000 0.000 2.475
Pd 0.000 2.475 0.000
Pd 2.475 0.000 0.000
Te 0.000 0.000 0.000
```

Calculated values
* magnetization: 0.9 μB/cell
* energy relative to the lowest polymorph listed for this composition: 4.10 eV/f.u.
* total energy: -4.112 eV per atom
* DOS at the Fermi energy: 1.0585 states/eV per atom


An optimized crystal structure of TeAsPd, computed with PBE.

extended XYZ file:
```
12
Lattice="-0.384 -4.884 2.425 5.881 -2.354 -3.809 6.687 1.255 3.586" Properties=species:S:1:pos:R:3 pbc="T T T"
Te 2.007 -0.785 -0.523
Te 4.039 -2.793 1.916
Te 8.144 -3.189 0.286
Te 10.177 -5.197 2.725
Pd 4.913 -0.628 3.315
Pd 7.271 -5.355 -1.113
Pd 4.555 -1.861 -0.667
Pd 7.629 -4.122 2.868
As 4.971 -4.305 -1.604
As 5.190 -4.848 3.260
As 6.994 -1.134 -1.058
As 7.212 -1.677 3.805
```

Calculated values
* magnetization: 0.0 μB/cell
* total energy: -4.507 eV per atom
* DOS at the Fermi energy: 0.4956 states/eV per atom


An optimized crystal structure of TeAsPd2, computed with PBE.

extended XYZ file:
```
4
Lattice="3.904 0.000 0.000 1.952 3.381 0.000 1.952 1.127 5.994" Properties=species:S:1:pos:R:3 pbc="T T T"
Pd 1.952 1.127 1.224
Pd 5.855 3.381 4.770
Te 3.904 2.254 2.997
As 0.000 0.000 0.000
```

Calculated values
* magnetization: 0.0 μB/cell
* energy relative to the lowest polymorph listed for this composition: 0.50 eV/f.u.
* total energy: -4.759 eV per atom
* DOS at the Fermi energy: 0.5249 states/eV per atom


An optimized crystal structure of TeAs2Pd2, computed with PBE.

extended XYZ file:
```
10
Lattice="-6.730 -3.607 1.504 0.944 -4.406 -6.345 1.558 -2.179 1.745" Properties=species:S:1:pos:R:3 pbc="T T T"
As -4.684 -5.799 -0.131
As -1.532 -3.003 0.546
As -2.696 -7.189 -3.642
As 0.456 -4.393 -2.965
Te 0.000 0.000 0.000
Te -2.893 -4.007 -2.420
Pd -0.549 -2.097 -2.128
Pd -1.651 -5.144 -4.949
Pd -4.134 -2.870 0.108
Pd -5.237 -5.917 -2.713
```

Calculated values
* magnetization: 0.0 μB/cell
* energy relative to the lowest polymorph listed for this composition: 0.05 eV/f.u.
* total energy: -4.649 eV per atom
* DOS at the Fermi energy: 0.5093 states/eV per atom


An optimized crystal structure of TeAsPd2, computed with PBE.

extended XYZ file:
```
4
Lattice="-0.454 3.069 -2.737 1.390 -0.457 -3.869 -4.499 -1.168 -3.690" Properties=species:S:1:pos:R:3 pbc="T T T"
Pd -0.644 0.465 -2.498
Pd -3.522 -0.755 -3.388
As -3.829 0.592 -8.080
Te -1.847 0.694 -5.169
```

Calculated values
* magnetization: 0.0 μB/cell
* energy relative to the lowest polymorph listed for this composition: 0.62 eV/f.u.
* total energy: -4.728 eV per atom
* DOS at the Fermi energy: 0.4731 states/eV per atom


An optimized crystal structure of TeAs2Pd, computed with PBE.

extended XYZ file:
```
8
Lattice="6.036 0.000 0.000 0.000 6.036 0.000 3.018 3.018 6.033" Properties=species:S:1:pos:R:3 pbc="T T T"
Pd 3.018 6.036 3.016
Pd 3.018 3.018 0.000
As 4.527 4.862 4.524
As 1.844 4.527 1.508
As 7.546 7.211 4.524
As 4.193 1.509 1.508
Te 0.000 0.000 0.000
Te 6.036 3.018 3.016
```

Calculated values
* magnetization: 0.0 μB/cell
* total energy: -4.340 eV per atom
* DOS at the Fermi energy: 0.4197 states/eV per atom


An optimized crystal structure of TeAsPd3, computed with PBE.

extended XYZ file:
```
20
Lattice="5.399 0.000 0.000 0.000 9.621 -0.925 0.000 -2.306 7.269" Properties=species:S:1:pos:R:3 pbc="T T T"
Pd 4.510 7.284 -0.072
Pd 3.589 1.321 4.025
Pd 0.509 4.768 4.664
Pd 1.349 -0.661 3.577
Pd 3.208 6.203 4.852
Pd 1.810 5.993 2.319
Pd 2.191 1.111 1.492
Pd 1.350 2.996 6.749
Pd 4.050 7.976 2.767
Pd 4.049 4.319 -0.405
Pd 4.890 2.546 1.680
Pd 0.889 0.030 6.416
As 0.832 7.254 4.392
As 1.868 3.597 1.220
As 4.567 0.060 1.952
As 3.531 3.718 5.124
Te 0.824 1.978 4.260
Te 1.875 7.941 0.162
Te 3.524 -0.627 6.182
Te 4.575 5.337 2.085
```

Calculated values
* magnetization: 0.0 μB/cell
* energy relative to the lowest polymorph listed for this composition: 0.00 eV/f.u.
* total energy: -4.933 eV per atom
* DOS at the Fermi energy: 0.4525 states/eV per atom


An optimized crystal structure of TlTe3AsPd, computed with PBE.

extended XYZ file:
```
12
Lattice="4.245 0.000 0.000 0.000 9.136 0.516 0.000 -1.903 9.247" Properties=species:S:1:pos:R:3 pbc="T T T"
As 3.184 1.468 8.416
As 1.061 5.765 1.347
Tl 1.061 1.080 2.527
Tl 3.184 6.153 7.236
Te 3.184 3.779 1.875
Te 1.061 3.454 7.888
Te 3.184 0.817 5.414
Te 1.061 -0.541 8.370
Te 3.184 7.775 1.393
Te 1.061 6.416 4.349
Pd 1.061 -0.824 5.729
Pd 3.184 8.058 4.034
```

Calculated values
* magnetization: 0.0 μB/cell
* total energy: -3.735 eV per atom
* DOS at the Fermi energy: 0.6324 states/eV per atom


An optimized crystal structure of TmTe2As2Pd7, computed with PBE.

extended XYZ file:
```
12
Lattice="-2.092 1.232 -3.194 -3.272 -1.823 1.439 -6.441 12.261 6.445" Properties=species:S:1:pos:R:3 pbc="T T T"
Pd -4.198 4.753 2.065
Pd -7.607 6.918 2.625
Pd -4.262 2.104 -1.435
Pd -4.852 0.577 0.881
Pd -6.953 11.094 3.808
Pd -7.543 9.567 6.124
Pd -2.682 -0.295 -0.878
Tm 0.000 0.000 0.000
As -8.224 8.968 3.819
As -3.581 2.703 0.870
Te -4.866 7.012 3.384
Te -6.939 4.659 1.305
```

Calculated values
* magnetization: 0.0 μB/cell
* total energy: -5.235 eV per atom
* DOS at the Fermi energy: 0.5003 states/eV per atom


An optimized crystal structure of UTe2As2Pd7, computed with PBE.

extended XYZ file:
```
12
Lattice="4.051 -0.002 0.011 0.003 4.051 0.011 1.980 1.977 15.028" Properties=species:S:1:pos:R:3 pbc="T T T"
Pd 2.004 2.001 6.064
Pd 4.043 2.016 2.150
Pd 1.990 4.010 12.899
Pd 2.027 2.024 0.011
Pd 2.021 4.041 2.150
Pd 4.012 1.985 12.899
Pd 4.030 4.025 8.985
Te 2.001 1.998 8.744
Te 4.032 4.027 6.306
As 2.013 2.011 3.626
As 4.020 4.015 11.423
U 0.000 0.000 0.000
```

Calculated values
* magnetization: 2.1 μB/cell
* total energy: -5.626 eV per atom
* DOS at the Fermi energy: 1.1310 states/eV per atom


An optimized crystal structure of YTeAsPd2, computed with PBE.

extended XYZ file:
```
5
Lattice="-3.867 2.337 1.873 -2.864 -4.994 0.318 1.751 -0.717 4.510" Properties=species:S:1:pos:R:3 pbc="T T T"
Pd -1.933 1.168 0.937
Pd 0.876 -0.358 2.255
Te 0.000 0.000 0.000
As -2.490 -1.687 3.351
Y -1.432 -2.497 0.159
```

Calculated values
* magnetization: 0.0 μB/cell
* total energy: -4.912 eV per atom
* DOS at the Fermi energy: 0.5929 states/eV per atom


An optimized crystal structure of ZnTe2As2Pd7, computed with PBE.

extended XYZ file:
```
12
Lattice="-3.318 -0.263 2.143 -2.092 -0.569 -3.312 -0.710 -14.993 0.683" Properties=species:S:1:pos:R:3 pbc="T T T"
Te -1.544 -8.935 0.155
Te -4.575 -6.890 -0.641
Pd -4.097 -2.503 0.657
Pd -2.023 -13.321 -1.143
Pd -2.636 -13.168 1.585
Pd -3.484 -2.657 -2.071
Pd -1.900 -6.249 -0.076
Pd -4.219 -9.576 -0.410
Pd -2.705 -0.416 -0.584
As -3.877 -12.006 -0.197
As -2.242 -3.818 -0.289
Zn 0.000 0.000 0.000
```

Calculated values
* magnetization: 0.0 μB/cell
* total energy: -4.782 eV per atom
* DOS at the Fermi energy: 0.5842 states/eV per atom


An optimized crystal structure of ZrTe2AsPd, computed with PBE.

extended XYZ file:
```
5
Lattice="5.289 0.000 0.000 0.000 4.711 0.000 0.000 0.000 5.289" Properties=species:S:1:pos:R:3 pbc="T T T"
As 0.000 2.355 0.000
Pd 0.000 0.000 0.000
Zr 2.645 2.355 2.645
Te 2.645 0.000 0.000
Te 0.000 0.000 2.645
```

Calculated values
* magnetization: 0.0 μB/cell
* total energy: -4.647 eV per atom
* DOS at the Fermi energy: 1.0440 states/eV per atom


An optimized crystal structure of ThAs2Pd4, computed with PBE.

extended XYZ file:
```
14
Lattice="4.168 0.000 0.000 0.000 7.762 0.000 0.000 0.000 7.762" Properties=species:S:1:pos:R:3 pbc="T T T"
Th 0.000 3.881 3.881
Th 2.084 0.000 0.000
As 0.000 1.690 6.072
As 2.084 5.570 5.570
As 0.000 6.072 1.690
As 2.084 2.191 2.191
Pd 2.084 3.149 6.552
Pd 0.000 2.671 0.732
Pd 2.084 4.613 1.210
Pd 0.000 0.732 2.671
Pd 0.000 7.030 5.090
Pd 0.000 5.090 7.030
Pd 2.084 1.210 4.613
Pd 2.084 6.552 3.149
```

Calculated values
* magnetization: 0.0 μB/cell
* total energy: -6.106 eV per atom
* DOS at the Fermi energy: 0.7841 states/eV per atom


An optimized crystal structure of Th3As4Pd7, computed with PBE.

extended XYZ file:
```
14
Lattice="-0.438 3.189 2.788 -4.631 -3.143 6.121 5.024 -2.104 6.449" Properties=species:S:1:pos:R:3 pbc="T T T"
Th 0.080 -2.129 12.207
Th -0.124 0.072 3.151
Th 0.197 -2.624 6.285
As 1.031 -2.252 9.244
As 2.822 -1.416 5.316
As -1.076 0.195 6.114
As -2.866 -0.642 10.042
Pd -1.478 -2.804 9.481
Pd 1.434 0.746 5.877
Pd 2.474 -0.542 10.767
Pd -2.803 -1.230 7.472
Pd -2.518 -1.515 4.591
Pd 2.759 -0.828 7.885
Pd 0.000 0.000 0.000
```

Calculated values
* magnetization: 0.0 μB/cell
* total energy: -6.451 eV per atom
* DOS at the Fermi energy: 0.2242 states/eV per atom


An optimized crystal structure of Th2As3Pd9, computed with PBE.

extended XYZ file:
```
28
Lattice="7.323 -0.053 -3.087 -4.318 6.672 0.014 -0.024 0.046 10.212" Properties=species:S:1:pos:R:3 pbc="T T T"
Pd -1.383 4.542 0.130
Pd -0.705 3.424 5.349
Pd 2.810 5.736 3.136
Pd -2.902 5.769 2.214
Pd 3.064 1.292 3.924
Pd 2.572 2.501 -0.894
Pd -3.206 6.635 9.302
Pd 5.884 0.896 4.926
Pd 6.187 0.030 -2.162
Pd 1.838 4.798 5.618
Pd 3.580 0.493 0.944
Pd 3.686 3.241 1.790
Pd 1.144 1.867 1.521
Pd 4.364 2.123 7.010
Pd 0.409 4.164 8.033
Pd -0.598 6.172 6.195
Pd -0.083 5.373 3.215
Pd 0.171 0.929 4.003
As 5.405 1.145 2.494
As 3.662 -0.027 -1.543
As 1.491 3.332 3.570
As -2.424 5.520 4.646
As 3.177 4.378 7.665
As -0.196 2.287 -0.525
Th 4.679 3.910 4.599
Th 1.438 1.619 6.629
Th 1.544 5.046 0.511
Th -1.698 2.755 2.540
```

Calculated values
* magnetization: 0.0 μB/cell
* total energy: -6.087 eV per atom
* DOS at the Fermi energy: 0.4274 states/eV per atom


An optimized crystal structure of ThAs4Pd12, computed with PBE.

extended XYZ file:
```
17
Lattice="-0.824 4.665 5.743 1.751 -6.776 2.539 5.441 2.469 -4.442" Properties=species:S:1:pos:R:3 pbc="T T T"
Pd 3.175 0.671 4.278
Pd 4.891 1.772 1.329
Pd 3.173 -4.007 1.644
Pd 3.196 4.365 2.196
Pd 3.194 -0.314 -0.437
Pd 5.490 -1.689 -1.045
Pd 4.647 -1.729 2.060
Pd 4.595 2.446 -1.316
Pd 0.878 2.047 4.885
Pd 1.773 -2.088 5.156
Pd 1.477 -1.414 2.511
Pd 1.721 2.087 1.781
As 2.721 1.234 -2.221
As 3.184 0.179 1.920
As 0.875 -3.388 1.269
As -0.412 2.333 2.872
Th 0.000 0.000 0.000
```

Calculated values
* magnetization: 0.0 μB/cell
* total energy: -5.461 eV per atom
* DOS at the Fermi energy: 0.4318 states/eV per atom


An optimized crystal structure of ThAs2Pd3, computed with PBE.

extended XYZ file:
```
18
Lattice="-1.901 -0.824 3.643 -6.102 -1.408 -5.914 5.290 -8.520 0.835" Properties=species:S:1:pos:R:3 pbc="T T T"
As -0.470 -4.806 1.079
As 2.723 -7.292 2.183
As -2.092 -1.791 -1.497
As -5.437 -3.460 -3.620
As -0.621 -8.961 0.061
As -2.243 -5.945 -2.515
Pd -1.057 -8.133 -2.390
Pd -3.941 -7.750 -1.398
Pd -1.015 -4.122 -1.461
Pd -1.657 -2.618 0.954
Pd 1.629 -9.285 1.162
Pd -4.343 -1.467 -2.598
Pd 1.227 -3.002 -0.038
Pd 1.694 -4.672 2.239
Pd -1.699 -6.630 0.025
Th 0.000 0.000 0.000
Th -4.224 -4.196 -0.742
Th 1.510 -6.555 -0.694
```

Calculated values
* magnetization: 0.0 μB/cell
* total energy: -6.182 eV per atom
* DOS at the Fermi energy: 0.4427 states/eV per atom


An optimized crystal structure of ThAs3Pd5, computed with PBE.

extended XYZ file:
```
18
Lattice="4.144 0.000 0.000 -2.072 6.835 0.000 0.000 0.000 11.757" Properties=species:S:1:pos:R:3 pbc="T T T"
As 2.072 5.119 2.939
As 0.000 5.439 6.835
As 2.072 1.396 4.922
As 0.000 5.439 10.801
As 2.072 1.396 0.956
As 0.000 1.716 8.818
Th 2.072 4.252 8.818
Th 0.000 2.583 2.939
Pd 2.072 3.892 0.758
Pd 2.072 1.213 10.210
Pd 2.072 1.213 7.425
Pd 0.000 5.622 4.332
Pd 0.000 2.943 6.636
Pd 2.072 3.892 5.121
Pd 0.000 5.622 1.547
Pd 0.000 0.000 5.879
Pd 0.000 0.000 0.000
Pd 0.000 2.943 10.999
```

Calculated values
* magnetization: 0.0 μB/cell
* total energy: -5.821 eV per atom
* DOS at the Fermi energy: 0.4551 states/eV per atom